First-principles (PBE) data for a geometry-optimized KSrP2Cl structure, as listed in Alexandria via LeMat-Bulk.

## Properties
Total magnetization (μB per formula unit): 3.928
DOS at the Fermi energy (states/eV/atom): 0.8026
Electronic total energy (eV per atom): -3.27
Energy relative to the elements, uncorrected (eV per atom): -0.18

abc: 6.016 6.016 5.656
angles: 90.00 90.00 90.00
Element x y z (fractional)
K (0.000, 0.000, 0.000)
Sr (0.500, 0.500, 0.500)
P (0.000, 0.500, 0.500)
P (0.500, 0.000, 0.500)
Cl (0.500, 0.500, 0.000)



First-principles (PBE) data for a geometry-optimized Cs4In2H structure, as listed in Alexandria via LeMat-Bulk.

## Properties
Total magnetization (μB per formula unit): 0.001
DOS at the Fermi energy (states/eV/atom): 0.9664
Electronic total energy (eV per atom): -1.63

abc: 11.027 11.027 11.027
angles: 148.02 148.02 45.85
Element x y z (fractional)
Cs (0.000, 0.500, 0.500)
Cs (0.168, 0.168, 0.000)
Cs (0.500, 0.000, 0.500)
Cs (0.832, 0.832, 0.000)
In (0.367, 0.367, 0.000)
In (0.633, 0.633, 0.000)
H (0.000, 0.000, 0.000)